This record from OQMD via LeMat-Bulk describes CoPdSO after structural relaxation. The functional is PBE+U.

Values from the calculation:
Final energy in eV per atom: -5.1808
Polymorph energy (0 for the lowest one) in kJ/mol of atoms: 7.6

Geometry as CIF:
```
data_CoPdSO
_chemical_formula_sum 'Co4 Pd4 S4 O4'
_cell_length_a 5.875
_cell_length_b 3.342
_cell_length_c 11.913
_cell_angle_alpha 90.00
_cell_angle_beta 90.00
_cell_angle_gamma 90.00
_space_group_name_H-M_alt 'P n m a'
_space_group_IT_number 62
loop_
_space_group_symop_operation_xyz
'x,y,z'
'-x,-y,-z'
'-x+1/2,-y,z+1/2'
'x+1/2,y,-z+1/2'
'x+1/2,-y+1/2,-z+1/2'
'-x+1/2,y+1/2,z+1/2'
'-x,y+1/2,-z'
'x,-y+1/2,z'
loop_
_atom_site_label
_atom_site_type_symbol
_atom_site_fract_x
_atom_site_fract_y
_atom_site_fract_z
_atom_site_occupancy
Co1 Co 0.137 0.250 0.182 1
Pd1 Pd 0.241 0.250 0.933 1
S1 S 0.198 0.250 0.573 1
O1 O 0.191 0.750 0.818 1
```